## Ba4ScAs (PBE)

Data for Ba4ScAs after structural relaxation.

Cell and atoms, written as extended XYZ:
```
6
Lattice="0.000 5.075 5.075 5.075 0.000 5.075 5.075 5.075 0.000" Properties=species:S:1:pos:R:3 pbc="T T T"
Ba 3.815 3.815 3.815
Ba 6.334 6.334 3.815
Ba 6.334 3.815 6.334
Ba 3.815 6.334 6.334
Sc 0.000 0.000 0.000
As 7.612 7.612 7.612
```

Computed properties:
Formation energy from the elements   513 meV per atom